Entry 1:
CaTi4Co3O12 | PBE with a Hubbard U | optimized geometry

Unit cell a=6.4387 b=6.4387 c=6.4387 alpha=109.47 beta=109.47 gamma=109.47
Last column: nearest neighbours and their distance in Å.
Fractional coordinates of all 20 atoms:
Ca (0.0000, 0.0000, 0.0000)  12 O 2.62
Ti (0.5000, 0.0000, 0.0000)  6 O 1.98
Ti (0.5000, 0.5000, 0.5000)  6 O 1.98
Ti (0.0000, 0.5000, 0.0000)  6 O 1.98
Ti (0.0000, 0.0000, 0.5000)  6 O 1.98
Co (0.0000, 0.5000, 0.5000)  4 O 1.96
Co (0.5000, 0.5000, 0.0000)  4 O 1.96
Co (0.5000, 0.0000, 0.5000)  4 O 1.96
O (0.3053, 0.8233, 0.1286)  1 Co 1.96, 2 Ti 1.98
O (0.6947, 0.1767, 0.8714)  1 Co 1.96, 2 Ti 1.98
O (0.6947, 0.8233, 0.5180)  1 Co 1.96, 2 Ti 1.98
O (0.8714, 0.6947, 0.1767)  1 Co 1.96, 2 Ti 1.98
O (0.8233, 0.1286, 0.3053)  1 Co 1.96, 2 Ti 1.98
O (0.1767, 0.4820, 0.3053)  1 Co 1.96, 2 Ti 1.98
O (0.4820, 0.3053, 0.1767)  1 Co 1.96, 2 Ti 1.98
O (0.1767, 0.8714, 0.6947)  1 Co 1.96, 2 Ti 1.98
O (0.3053, 0.1767, 0.4820)  1 Co 1.96, 2 Ti 1.98
O (0.1286, 0.3053, 0.8233)  1 Co 1.96, 2 Ti 1.98
O (0.8233, 0.5180, 0.6947)  1 Co 1.96, 2 Ti 1.98
O (0.5180, 0.6947, 0.8233)  1 Co 1.96, 2 Ti 1.98

Values from the calculation:
crystal system: cubic
mass density: 4.85 g/cm³
uncorrected energy: -7.751 eV/atom
space-group type: No. 204



Entry 2:
Ca2TiCoO5 | PBE with a Hubbard U | optimized geometry

Unit cell a=3.1616 b=6.7204 c=10.5451 alpha=90.00 beta=90.00 gamma=103.60
Last column: nearest neighbours and their distance in Å.
Fractional coordinates of all 18 atoms:
Ca (0.8629, 0.7257, 0.7862)  6 O 2.36-2.57
Ca (0.0919, 0.1839, 0.6734)  6 O 2.30-2.50
Ca (0.1371, 0.2743, 0.2862)  6 O 2.36-2.57
Ca (0.9081, 0.8161, 0.1734)  6 O 2.30-2.50
Ti (0.7767, 0.5534, 0.5156)  6 O 1.91-2.13
Ti (0.2233, 0.4466, 0.0156)  6 O 1.91-2.13
Co (0.5292, 0.0584, 0.9578)  4 O 1.92-2.15
Co (0.4708, 0.9416, 0.4578)  4 O 1.92-2.15
O (0.3689, 0.7377, 0.0021)  1 Ti 1.91
O (0.7058, 0.4117, 0.9027)  2 Ti 1.99
O (0.4968, 0.9936, 0.7800)  1 Co 1.92
O (0.2686, 0.5372, 0.6507)  2 Ti 2.13, 1 Ca 2.32
O (0.9261, 0.8522, 0.5555)  2 Co 1.98, 1 Ti 2.00
O (0.6311, 0.2623, 0.5021)  1 Ti 1.91
O (0.2942, 0.5883, 0.4027)  2 Ti 1.99
O (0.5032, 0.0064, 0.2800)  1 Co 1.92
O (0.7314, 0.4628, 0.1507)  2 Ti 2.13, 1 Ca 2.32
O (0.0739, 0.1478, 0.0555)  2 Co 1.98, 1 Ti 2.00

Values from the calculation:
crystal system: orthorhombic
mass density: 4.07 g/cm³
uncorrected energy: -7.194 eV/atom
space-group type: No. 36